Record 1
La4Ho2Mg: relaxed, PBE.

Lattice parameters (Å, degrees): 8.7832 6.7086 8.6202 98.91 96.13 104.59
Element x y z (fractional)
Ho1 0.6267 0.4763 0.2986
Ho2 0.5995 0.9380 0.2193
Ho3 0.7376 0.3928 0.6583
Ho4 0.0965 0.3159 0.7651
Mg1 0.3521 0.5829 0.5422
Mg2 0.7934 0.2537 0.0068
La1 0.9402 0.8012 0.0396
La2 0.5127 0.5449 0.9090
La3 0.9680 0.2209 0.3759
La4 0.0128 0.7492 0.5139
La5 0.7084 0.9037 0.6587
La6 0.3374 0.9920 0.9014
La7 0.2216 0.5066 0.1536
La8 0.3429 0.0718 0.4574

Calculated values
The density of states at the Fermi level is 21.2 states/eV/cell. As for the space group: No. 1. The value obtained for the magnetization is 0.00 μB per formula unit. The formation energy is 0.10 eV/atom.

Record 2
LaHoMg17: relaxed, PBE.

Lattice parameters (Å, degrees): 7.8124 7.8124 7.8124 82.23 82.23 82.23
Element x y z (fractional)
La1 0.6684 0.6684 0.6684
Mg1 0.3497 0.8477 0.3497
Mg2 0.0021 0.3012 0.6966
Mg3 0.1673 0.6448 0.6448
Mg4 0.3497 0.3497 0.8477
Mg5 0.3012 0.0021 0.6966
Mg6 0.6966 0.0021 0.3012
Mg7 0.6966 0.3012 0.0021
Mg8 0.9969 0.5028 0.9969
Mg9 0.8477 0.3497 0.3497
Mg10 0.9969 0.9969 0.5028
Mg11 0.0021 0.6966 0.3012
Mg12 0.9025 0.9025 0.9025
Mg13 0.1003 0.1003 0.1003
Mg14 0.5028 0.9969 0.9969
Mg15 0.6448 0.1673 0.6448
Mg16 0.6448 0.6448 0.1673
Mg17 0.3012 0.6966 0.0021
Ho1 0.3284 0.3284 0.3284

Calculated values
The density of states at the Fermi level is 8.5 states/eV/cell. As for the space group: No. 160. The value obtained for the magnetization is 0.00 μB per formula unit. The formation energy is -0.04 eV/atom.

Record 3
La3HoMg: relaxed, PBE.

Lattice parameters (Å, degrees): 5.5892 7.0478 9.0224 91.76 108.06 90.00
Element x y z (fractional)
Ho1 0.6181 0.7939 0.2700
Ho2 0.4256 0.7846 0.8839
La1 0.8188 0.6316 0.6702
La2 0.2252 0.9468 0.4838
La3 0.0143 0.0273 0.0618
La4 0.6326 0.2848 0.2971
La5 0.4115 0.2936 0.8570
La6 0.0293 0.5512 0.0923
Mg1 0.2278 0.4555 0.4876
Mg2 0.8166 0.1229 0.6667

Calculated values
The density of states at the Fermi level is 14.0 states/eV/cell. As for the space group: No. 2. The value obtained for the magnetization is 0.00 μB per formula unit. The formation energy is 0.00 eV/atom.

Record 4
La15Ho2Mg2: relaxed, PBE.

Lattice parameters (Å, degrees): 8.9220 8.9220 8.9220 77.12 77.12 77.12
Element x y z (fractional)
La1 0.0000 0.0000 0.5000
La2 0.3962 0.8267 0.3962
La3 0.0000 0.7053 0.2947
La4 0.2947 0.0000 0.7053
La5 0.3962 0.3962 0.8267
La6 0.0000 0.2947 0.7053
La7 0.5000 0.0000 0.0000
La8 0.6038 0.6038 0.1733
La9 0.8267 0.3962 0.3962
La10 0.6038 0.1733 0.6038
La11 0.7053 0.0000 0.2947
La12 0.1733 0.6038 0.6038
La13 0.2947 0.7053 0.0000
La14 0.7053 0.2947 0.0000
La15 0.0000 0.5000 0.0000
Mg1 0.0910 0.0910 0.0910
Mg2 0.9090 0.9090 0.9090
Ho1 0.7024 0.7024 0.7024
Ho2 0.2976 0.2976 0.2976

Calculated values
The density of states at the Fermi level is 25.5 states/eV/cell. As for the space group: No. 166. The value obtained for the magnetization is 0.00 μB per formula unit. The formation energy is 0.18 eV/atom.

Record 5
La2HoMg: relaxed, PBE.

Lattice parameters (Å, degrees): 3.5246 3.5246 12.8695 82.13 82.13 60.00
Element x y z (fractional)
Ho1 0.5000 0.5000 0.5000
Mg1 0.0000 0.0000 0.0000
La1 0.0896 0.0896 0.7311
La2 0.9104 0.9104 0.2689

Calculated values
The density of states at the Fermi level is 5.1 states/eV/cell. As for the space group: No. 166. The value obtained for the magnetization is 0.00 μB per formula unit. The formation energy is 0.18 eV/atom.

Record 6
La6Ho3Mg: relaxed, PBE.

Lattice parameters (Å, degrees): 5.4657 10.5539 12.0950 90.00 90.00 90.00
Element x y z (fractional)
La1 0.4996 0.5684 0.2481
La2 0.4997 0.7937 0.6093
La3 0.5003 0.2063 0.3907
La4 0.9997 0.7064 0.1094
La5 0.5004 0.4316 0.7519
La6 0.9996 0.9316 0.7479
La7 0.5002 0.1714 0.0836
La8 0.4998 0.8286 0.9164
La9 0.9998 0.6716 0.4164
La10 0.0004 0.0684 0.2521
La11 0.0003 0.2936 0.8906
La12 0.0002 0.3284 0.5836
Ho1 0.5000 0.5000 0.0000
Ho2 0.0002 0.6193 0.7804
Ho3 0.5002 0.8807 0.2805
Ho4 0.9998 0.3807 0.2196
Ho5 0.4998 0.1193 0.7195
Ho6 0.0000 0.0000 0.5000
Mg1 0.0000 0.0000 0.0000
Mg2 0.5000 0.5000 0.5000

Calculated values
The density of states at the Fermi level is 21.9 states/eV/cell. As for the space group: No. 58. The value obtained for the magnetization is 0.00 μB per formula unit. The formation energy is 0.12 eV/atom.

Record 7
La12Ho7Mg: relaxed, PBE.

Lattice parameters (Å, degrees): 10.1848 10.1848 10.1848 109.47 109.47 109.47
Element x y z (fractional)
Ho1 0.5000 0.5000 0.0000
Ho2 0.0000 0.0000 0.5000
Ho3 0.5000 0.5000 0.5000
Ho4 0.5000 0.0000 0.5000
Ho5 0.0000 0.5000 0.0000
Ho6 0.0000 0.5000 0.5000
Ho7 0.5000 0.0000 0.0000
La1 0.9903 0.7476 0.2427
La2 0.2427 0.4951 0.2524
La3 0.7476 0.2427 0.9903
La4 0.7573 0.0097 0.2524
La5 0.5049 0.7476 0.7573
La6 0.7573 0.5049 0.7476
La7 0.7476 0.7573 0.5049
La8 0.2524 0.7573 0.0097
La9 0.0097 0.2524 0.7573
La10 0.2427 0.9903 0.7476
La11 0.4951 0.2524 0.2427
La12 0.2524 0.2427 0.4951
Mg1 0.0000 0.0000 0.0000

Calculated values
The density of states at the Fermi level is 36.8 states/eV/cell. As for the space group: No. 204. The value obtained for the magnetization is 0.00 μB per formula unit. The formation energy is 0.64 eV/atom.

Record 8
La5HoMg4: relaxed, PBE.

Lattice parameters (Å, degrees): 3.9206 3.9206 20.7344 90.00 90.00 90.00
Element x y z (fractional)
La1 0.5000 0.5000 0.1131
La2 0.5000 0.5000 0.3066
La3 0.5000 0.5000 0.5000
La4 0.5000 0.5000 0.6934
La5 0.5000 0.5000 0.8869
Mg1 0.0000 0.0000 0.7909
Mg2 0.0000 0.0000 0.4033
Mg3 0.0000 0.0000 0.2091
Mg4 0.0000 0.0000 0.5967
Ho1 0.0000 0.0000 0.0000

Calculated values
The density of states at the Fermi level is 12.8 states/eV/cell. As for the space group: No. 123. The value obtained for the magnetization is 0.00 μB per formula unit. The formation energy is -0.08 eV/atom.

Record 9
LaHoMg2: relaxed, PBE.

Lattice parameters (Å, degrees): 3.4560 3.4560 11.5432 81.39 81.39 60.00
Element x y z (fractional)
Mg1 0.2467 0.2467 0.2598
Mg2 0.0865 0.0865 0.7406
Ho1 0.4990 0.4990 0.5031
La1 0.6678 0.6678 0.9965

Calculated values
The density of states at the Fermi level is 5.3 states/eV/cell. As for the space group: No. 160. The value obtained for the magnetization is 0.00 μB per formula unit. The formation energy is 0.05 eV/atom.

Record 10
LaHoMg: relaxed, PBE.

Lattice parameters (Å, degrees): 5.3665 5.3555 6.9498 112.65 90.00 90.00
Element x y z (fractional)
La1 0.2500 0.4112 0.3224
La2 0.7500 0.5888 0.6776
Mg1 0.2500 0.7491 0.9985
Mg2 0.7500 0.2509 0.0015
Ho1 0.7500 0.9045 0.3085
Ho2 0.2500 0.0955 0.6915

Calculated values
The density of states at the Fermi level is 6.8 states/eV/cell. As for the space group: No. 63. The value obtained for the magnetization is 0.00 μB per formula unit. The formation energy is -0.04 eV/atom.

Record 11
LaHo6Mg: relaxed, PBE.

Lattice parameters (Å, degrees): 7.0505 7.0505 6.9736 104.56 104.56 121.34
Element x y z (fractional)
Ho1 0.4894 0.0383 0.2518
Ho2 0.0383 0.4894 0.2518
Ho3 0.5106 0.9617 0.7482
Ho4 0.9617 0.5106 0.7482
Ho5 0.7424 0.7424 0.2562
Ho6 0.2576 0.2576 0.7438
Mg1 0.5000 0.5000 0.5000
La1 0.0000 0.0000 0.0000

Calculated values
The density of states at the Fermi level is 13.7 states/eV/cell. As for the space group: No. 12. The value obtained for the magnetization is 1.77 μB per formula unit. The formation energy is 0.37 eV/atom.

Record 12
La15HoMg4: relaxed, PBE.

Lattice parameters (Å, degrees): 5.1439 5.1439 25.6668 90.00 90.00 90.00
Element x y z (fractional)
Ho1 0.0000 0.0000 0.0000
La1 0.0000 0.5000 0.3014
La2 0.5000 0.0000 0.6986
La3 0.5000 0.0000 0.5000
La4 0.0000 0.5000 0.5000
La5 0.5000 0.0000 0.3014
La6 0.5000 0.5000 0.4009
La7 0.5000 0.5000 0.0000
La8 0.0000 0.5000 0.8985
La9 0.5000 0.0000 0.8985
La10 0.5000 0.0000 0.1015
La11 0.0000 0.5000 0.6986
La12 0.0000 0.5000 0.1015
La13 0.5000 0.5000 0.7992
La14 0.5000 0.5000 0.5991
La15 0.5000 0.5000 0.2008
Mg1 0.0000 0.0000 0.4007
Mg2 0.0000 0.0000 0.7975
Mg3 0.0000 0.0000 0.5993
Mg4 0.0000 0.0000 0.2025

Calculated values
The density of states at the Fermi level is 33.2 states/eV/cell. As for the space group: No. 123. The value obtained for the magnetization is 0.00 μB per formula unit. The formation energy is -0.01 eV/atom.